DFT (GGA-PBE) results for a geometry-optimized KIrO2 structure.

```
data_KIrO2
_chemical_formula_sum 'K1 Ir1 O2'
_cell_length_a 4.097
_cell_length_b 4.097
_cell_length_c 4.097
_cell_angle_alpha 60.00
_cell_angle_beta 60.00
_cell_angle_gamma 60.00
_symmetry_space_group_name_H-M 'P 1'
_symmetry_Int_Tables_number 1
loop_
_symmetry_equiv_pos_as_xyz
'x,y,z'
loop_
_atom_site_label
_atom_site_fract_x
_atom_site_fract_y
_atom_site_fract_z
O1 0.750 0.750 0.750
O2 0.250 0.250 0.250
K1 0.000 0.000 0.000
Ir1 0.500 0.500 0.500
```

For the size of the total moment, the calculation gives 0.0 μB per cell. The formation energy (no corrections) is 0.318 eV per atom. As for the density of states at the Fermi level: 2.59 states/eV/f.u.